(1)
# PBE CoS2, relaxed
# E ... -32.02 eV/cell
# Formation energy from raw total energies ... -0.217 eV/atom
# Symmetry ... P1 (1)
# M_tot ... 0.00 μB/cell
data_CoS2
_cell_length_a 3.3306
_cell_length_b 6.0866
_cell_length_c 6.1531
_cell_angle_alpha 78.28
_cell_angle_beta 76.50
_cell_angle_gamma 80.31
_space_group_name_H-M_alt 'P 1'
_space_group_IT_number 1
loop_
_space_group_symop_operation_xyz
'x,y,z'
loop_
_atom_site_label
_atom_site_fract_x
_atom_site_fract_y
_atom_site_fract_z
Co1 0.0000 0.0000 0.0000
Co2 0.3715 0.3025 0.0775
S1 0.0306 0.6541 0.9308
S2 0.3995 0.9625 0.2541
S3 0.5504 0.1480 0.7732
S4 0.7589 0.4584 0.2282

(2)
# PBE InHg2Te2, relaxed
# E ... -9.39 eV/cell
# Distance to the lowest polymorph of the same formula ... 0.077 eV per atom
# Formation energy from raw total energies ... 0.047 eV/atom
# Symmetry ... I4/mmm (139)
# M_tot ... 0.00 μB/cell
data_InHg2Te2
_cell_length_a 6.1603
_cell_length_b 6.1603
_cell_length_c 6.1603
_cell_angle_alpha 123.35
_cell_angle_beta 123.35
_cell_angle_gamma 84.29
_space_group_name_H-M_alt 'P 1'
_space_group_IT_number 1
loop_
_space_group_symop_operation_xyz
'x,y,z'
loop_
_atom_site_label
_atom_site_fract_x
_atom_site_fract_y
_atom_site_fract_z
In1 0.0000 0.0000 0.0000
Hg1 0.3436 0.3436 0.0000
Hg2 0.6564 0.6564 0.0000
Te1 0.2500 0.7500 0.5000
Te2 0.7500 0.2500 0.5000

Please write out number 2 again, unchanged.
# PBE InHg2Te2, relaxed
# E ... -9.39 eV/cell
# Distance to the lowest polymorph of the same formula ... 0.077 eV per atom
# Formation energy from raw total energies ... 0.047 eV/atom
# Symmetry ... I4/mmm (139)
# M_tot ... 0.00 μB/cell
data_InHg2Te2
_cell_length_a 6.1603
_cell_length_b 6.1603
_cell_length_c 6.1603
_cell_angle_alpha 123.35
_cell_angle_beta 123.35
_cell_angle_gamma 84.29
_space_group_name_H-M_alt 'P 1'
_space_group_IT_number 1
loop_
_space_group_symop_operation_xyz
'x,y,z'
loop_
_atom_site_label
_atom_site_fract_x
_atom_site_fract_y
_atom_site_fract_z
In1 0.0000 0.0000 0.0000
Hg1 0.3436 0.3436 0.0000
Hg2 0.6564 0.6564 0.0000
Te1 0.2500 0.7500 0.5000
Te2 0.7500 0.2500 0.5000

> The lowest formation energy from raw total energies belongs to which entry?

CoS2